Cr2FeCo6 | Alexandria via LeMat-Bulk | PBE | relaxed; formation energy from the elements = 3.37 kcal/mol of atoms; spin magnetization = 11.26 μB per cell; SG = C2/m, No. 12
1.0
3.846 0.000 1.175
1.156 7.815 3.100
0.821 1.708 4.196
Fe Cr Co
1 2 6
direct
0.500 0.500 0.500
0.603 0.146 0.648
0.397 0.854 0.352
0.730 0.833 0.708
0.954 0.176 0.915
0.270 0.167 0.292
0.046 0.824 0.085
0.171 0.515 0.143
0.829 0.485 0.857



CrFe2Co | Alexandria via LeMat-Bulk | PBE | relaxed; formation energy from the elements = 2.49 kcal/mol of atoms; spin magnetization = 1.74 μB per cell; SG = Cmmm, No. 65
1.0
4.330 -0.005 0.000
-1.491 4.065 0.000
0.000 0.000 2.489
Cr Fe Co
1 2 1
direct
0.000 0.500 0.500
0.000 0.000 0.000
0.500 0.500 0.000
0.500 0.000 0.500



CrFe2Co7Ge2 | Alexandria via LeMat-Bulk | PBE | relaxed; formation energy from the elements = 1.73 kcal/mol of atoms; spin magnetization = 7.39 μB per cell; SG = Cmmm, No. 65
1.0
3.546 0.011 0.277
0.016 3.546 0.277
2.704 2.701 11.587
Co Fe Cr Ge
7 2 1 2
direct
0.650 0.150 0.850
0.270 0.270 0.500
0.850 0.350 0.150
0.500 0.500 0.000
0.730 0.730 0.500
0.350 0.850 0.150
0.150 0.650 0.850
0.824 0.824 0.676
0.176 0.176 0.324
0.000 0.000 0.000
0.301 0.301 0.699
0.699 0.699 0.301



CrFeCo2H | Alexandria via LeMat-Bulk | PBE | relaxed; E_tot = -7.040 eV per atom; spin magnetization = 0.00 μB per cell; SG = P4/mmm, No. 123
1.0
-0.180 0.270 -3.459
3.137 -1.466 -0.277
-1.567 -3.321 -0.178
Co H Fe Cr
2 1 1 1
direct
0.500 0.000 0.000
0.000 0.500 0.000
0.000 0.000 0.000
0.500 0.500 0.500
0.000 0.000 0.500



CrFe2CoH | Alexandria via LeMat-Bulk | PBE | relaxed; E_tot = -7.356 eV per atom; spin magnetization = 1.85 μB per cell; SG = P4/mmm, No. 123
1.0
-1.263 3.220 -0.892
-2.552 -1.545 -1.964
-2.223 -0.059 2.934
Fe H Co Cr
2 1 1 1
direct
0.000 0.500 0.000
0.500 0.000 0.000
0.000 0.000 0.000
0.500 0.500 0.500
0.000 0.000 0.500



CrFe2CoH | Alexandria via LeMat-Bulk | PBE | relaxed; E_tot = -7.400 eV per atom; spin magnetization = 1.86 μB per cell; SG = P4/mmm, No. 123
1.0
-1.784 -0.154 3.157
-1.721 -2.993 -1.119
2.612 -2.018 1.378
H Fe Co Cr
1 2 1 1
direct
0.000 0.000 0.000
0.000 0.500 0.000
0.500 0.000 0.000
0.000 0.000 0.500
0.500 0.500 0.500



CrFeCo2H | Alexandria via LeMat-Bulk | PBE | relaxed; E_tot = -7.064 eV per atom; spin magnetization = 0.00 μB per cell; SG = P4/mmm, No. 123
1.0
3.503 0.000 0.000
0.000 3.503 0.000
0.000 0.000 3.602
Co Fe Cr H
2 1 1 1
direct
0.500 0.000 0.000
0.000 0.500 0.000
0.000 0.000 0.500
0.500 0.500 0.500
0.000 0.000 0.000